[1]
The following is a PBE calculation of an optimized crystal structure of Ca2B5ClO9, from the Alexandria database.

extended XYZ file:
```
68
Lattice="-3.4662 -4.9578 1.9481 1.6268 -5.0464 -9.9482 9.4425 -4.9986 4.0798" Properties=species:S:1:pos:R:3 pbc="T T T"
O 2.6695 -7.5290 -5.9941
O 4.3606 -10.8930 0.5807
O 0.6155 -6.4395 -6.4843
O 7.7286 -5.7020 1.0769
O 5.6857 -10.1095 -3.4085
O 6.8648 -7.6844 -0.0494
O 5.0624 -8.9256 1.5522
O 7.5084 -7.8183 2.2712
O 1.1230 -8.0120 0.7834
O 4.8420 -5.6415 -5.4751
O -0.6984 -7.0499 -0.4009
O 5.2322 -12.3091 -4.3574
O 0.7447 -3.9676 1.4054
O 3.5347 -11.2037 -3.0484
O 0.9045 -8.4176 -4.5530
O -0.4314 -4.1537 -0.7052
O 3.3531 -7.1986 1.3142
O 2.7266 -5.2214 -6.6001
O 7.9453 -10.9768 -3.1650
O 1.3033 -5.7718 -0.1667
O 5.5854 -6.5414 1.7075
O 6.1380 -4.5311 -0.3431
O 3.1460 -9.3833 -4.6141
O 9.5220 -9.1605 -3.0688
O 1.5539 -9.7310 -6.3929
O -0.1606 -8.9773 -2.5884
O 5.4872 -11.9784 -1.9377
O -0.0675 -6.1814 1.8075
O 6.9216 -10.9449 -5.3612
O 4.2968 -7.7782 3.4575
O 0.4433 -2.4636 -2.1791
O 7.5142 -8.9197 -4.4368
O 1.9189 -3.4656 -0.5120
O 1.8188 -4.3823 -2.6758
O 7.4982 -8.1691 -2.2077
O 1.7661 -5.8483 -4.4486
Ca 3.5201 -6.9233 -8.3273
Ca 3.7697 -5.2421 -0.0151
Ca 6.7331 -10.1435 3.1502
Ca 5.0867 -7.9681 -4.6096
Ca 6.5365 -4.5702 3.0281
Ca 5.7863 -9.6621 -0.8987
Ca -1.3430 -8.0245 -5.8268
Ca 0.8040 -6.7893 -2.4524
B 2.4034 -8.1858 1.2197
B 2.3090 -4.7071 -3.9013
B 4.6360 -7.5961 2.0175
B 6.9235 -6.9374 1.2385
B 4.0751 -9.9734 1.7234
B -0.6184 -3.1031 -1.5883
B 1.9473 -6.2521 -5.8713
B 0.3555 -9.5671 -3.8608
B 8.3546 -8.2608 -3.4243
B 0.8810 -4.3563 -0.0311
B 4.9913 -11.4036 -3.1990
B 2.0530 -8.7142 -5.4240
B 0.4133 -6.7438 0.5142
B 7.4330 -7.2364 -1.2211
B 2.7223 -10.3606 -3.7476
B 9.2103 -10.4854 -2.8877
B 1.8006 -3.0916 -1.9304
B 6.0393 -11.9876 -5.4259
B 7.0159 -10.2263 -4.0544
B 0.2365 -4.9138 2.2516
Cl 3.9097 -7.3467 -2.0210
Cl -3.3581 -4.8031 1.8873
Cl 3.9546 -3.5959 2.4708
Cl -1.6864 -6.0987 -3.5692
```

Values from the calculation:
Crystal system: orthorhombic
Formation energy without anion corrections, eV/atom: -2.637
Symmetry: Pnn2, No. 34

---

[2]
The following is a PBE calculation of an optimized crystal structure of CaBPCl2, from the Alexandria database.

extended XYZ file:
```
5
Lattice="5.2116 0.0000 0.0000 0.0000 5.2116 0.0000 0.0000 0.0000 5.9099" Properties=species:S:1:pos:R:3 pbc="T T T"
Cl 2.6058 0.0000 0.0000
Cl 0.0000 2.6058 0.0000
B 2.6058 2.6058 2.9549
P 0.0000 0.0000 2.9549
Ca 0.0000 0.0000 0.0000
```

Values from the calculation:
Crystal system: tetragonal
Formation energy without anion corrections, eV/atom: 0.449
Symmetry: P4/mmm, No. 123
Energy relative to the lowest polymorph listed for this composition, eV/atom: 0.712

---

[3]
The following is a PBE calculation of an optimized crystal structure of CaBPCl2, from the Alexandria database.

extended XYZ file:
```
5
Lattice="5.4397 0.0000 0.0000 0.0000 5.4397 0.0000 0.0000 0.0000 3.5584" Properties=species:S:1:pos:R:3 pbc="T T T"
Cl 2.7199 0.0000 0.0000
Cl 0.0000 2.7199 0.0000
P 0.0000 0.0000 1.7792
Ca 2.7199 2.7199 1.7792
B 0.0000 0.0000 0.0000
```

Values from the calculation:
Crystal system: tetragonal
Formation energy without anion corrections, eV/atom: -0.262
Symmetry: P4/mmm, No. 123
Energy relative to the lowest polymorph listed for this composition, eV/atom: 0.000

---

[4]
The following is a PBE calculation of an optimized crystal structure of Rb2CaBCl6, from the Alexandria database.

extended XYZ file:
```
10
Lattice="-2.9090 -1.6970 6.3493 -6.1842 -1.6435 -3.2726 -2.9735 -6.4699 0.9762" Properties=species:S:1:pos:R:3 pbc="T T T"
B -4.5466 -1.6703 1.5383
Cl -3.8194 -3.8890 1.2785
Cl -8.2473 -5.9215 2.7744
Cl -5.3035 -1.6579 -0.6855
Cl -6.6482 -2.4424 2.2494
Cl -2.4450 -0.8982 0.8273
Cl -3.7896 -1.6827 3.7621
Rb -5.2146 -4.9186 4.4319
Rb -6.8522 -4.8919 -0.3791
Ca 0.0000 0.0000 0.0000
```

Values from the calculation:
Crystal system: cubic
Formation energy without anion corrections, eV/atom: -1.298
Symmetry: Fm-3m, No. 225

---

[5]
The following is a PBE calculation of an optimized crystal structure of Ca2BRhCl, from the Alexandria database.

extended XYZ file:
```
5
Lattice="-0.9278 5.3109 0.6138 -2.8824 -1.0216 4.4824 3.7117 0.3630 2.4695" Properties=species:S:1:pos:R:3 pbc="T T T"
Rh 0.0000 0.0000 0.0000
Ca -1.4412 -0.5108 2.2412
Ca -0.4639 2.6555 0.3069
Cl 1.8558 0.1815 1.2348
B -0.0493 2.3262 3.7829
```

Values from the calculation:
Crystal system: tetragonal
Formation energy without anion corrections, eV/atom: 0.423
Symmetry: P4/mmm, No. 123
Energy relative to the lowest polymorph listed for this composition, eV/atom: 1.120

---

[6]
The following is a PBE calculation of an optimized crystal structure of Ca2BRhCl, from the Alexandria database.

extended XYZ file:
```
5
Lattice="5.4968 0.0000 0.0000 0.0000 3.9579 0.0000 0.0000 0.0000 5.4968" Properties=species:S:1:pos:R:3 pbc="T T T"
Ca 2.7484 0.0000 0.0000
Ca 0.0000 0.0000 2.7484
Rh 0.0000 0.0000 0.0000
Cl 2.7484 1.9790 2.7484
B 0.0000 1.9790 0.0000
```

Values from the calculation:
Crystal system: tetragonal
Formation energy without anion corrections, eV/atom: -0.599
Symmetry: P4/mmm, No. 123
Energy relative to the lowest polymorph listed for this composition, eV/atom: 0.097

---

[7]
The following is a PBE calculation of an optimized crystal structure of Ca2BRhCl, from the Alexandria database.

extended XYZ file:
```
5
Lattice="-2.6036 -2.8472 3.7032 4.0447 -3.4950 0.1565 1.6920 2.0831 2.7912" Properties=species:S:1:pos:R:3 pbc="T T T"
Cl 1.5666 -2.1296 3.3254
Rh 0.8460 1.0416 1.3956
B 0.0000 0.0000 0.0000
Ca -1.3018 -1.4236 1.8516
Ca 2.0224 -1.7475 0.0782
```

Values from the calculation:
Crystal system: tetragonal
Formation energy without anion corrections, eV/atom: -0.696
Symmetry: P4/mmm, No. 123
Energy relative to the lowest polymorph listed for this composition, eV/atom: 0.000

---

[8]
The following is a PBE calculation of an optimized crystal structure of CaBSCl2, from the Alexandria database.

extended XYZ file:
```
5
Lattice="5.2647 0.0000 0.0000 0.0000 5.2647 0.0000 0.0000 0.0000 5.5671" Properties=species:S:1:pos:R:3 pbc="T T T"
Ca 0.0000 0.0000 0.0000
S 0.0000 0.0000 2.7835
B 2.6324 2.6324 2.7835
Cl 0.0000 2.6324 0.0000
Cl 2.6324 0.0000 0.0000
```

Values from the calculation:
Crystal system: tetragonal
Formation energy without anion corrections, eV/atom: 0.116
Symmetry: P4/mmm, No. 123
Energy relative to the lowest polymorph listed for this composition, eV/atom: 0.685

---

[9]
The following is a PBE calculation of an optimized crystal structure of CaBSCl2, from the Alexandria database.

extended XYZ file:
```
5
Lattice="4.4703 0.0000 0.0000 0.0000 4.4703 0.0000 0.0000 0.0000 4.5015" Properties=species:S:1:pos:R:3 pbc="T T T"
Cl 2.2351 0.0000 0.0000
Cl 0.0000 2.2351 0.0000
Ca 2.2351 2.2351 2.2507
B 0.0000 0.0000 0.0000
S 0.0000 0.0000 2.2507
```

Values from the calculation:
Crystal system: tetragonal
Formation energy without anion corrections, eV/atom: -0.569
Symmetry: P4/mmm, No. 123
Energy relative to the lowest polymorph listed for this composition, eV/atom: 0.000

---

[10]
The following is a PBE calculation of an optimized crystal structure of Ca2ScBCl, from the Alexandria database.

extended XYZ file:
```
5
Lattice="5.3629 0.0000 0.0000 0.0000 4.6412 0.0000 0.0000 0.0000 5.3629" Properties=species:S:1:pos:R:3 pbc="T T T"
Sc 0.0000 2.3206 0.0000
Ca 0.0000 0.0000 2.6814
Ca 2.6814 0.0000 0.0000
B 0.0000 0.0000 0.0000
Cl 2.6814 2.3206 2.6814
```

Values from the calculation:
Crystal system: tetragonal
Formation energy without anion corrections, eV/atom: -0.268
Symmetry: P4/mmm, No. 123

---

[11]
The following is a PBE calculation of an optimized crystal structure of CaSiBCl2, from the Alexandria database.

extended XYZ file:
```
5
Lattice="4.8150 0.0000 0.0000 0.0000 5.9859 0.0000 0.0000 0.0000 4.8150" Properties=species:S:1:pos:R:3 pbc="T T T"
Cl 0.0000 0.0000 2.4075
Cl 2.4075 0.0000 0.0000
Ca 0.0000 2.9930 0.0000
B 2.4075 2.9930 2.4075
Si 0.0000 0.0000 0.0000
```

Values from the calculation:
Crystal system: tetragonal
Formation energy without anion corrections, eV/atom: 0.566
Symmetry: P4/mmm, No. 123

---

[12]
The following is a PBE calculation of an optimized crystal structure of CaBTeCl2, from the Alexandria database.

extended XYZ file:
```
5
Lattice="5.3503 0.0000 0.0000 0.0000 6.1583 0.0000 0.0000 0.0000 5.3503" Properties=species:S:1:pos:R:3 pbc="T T T"
Te 0.0000 0.0000 0.0000
B 2.6751 3.0792 2.6751
Cl 2.6751 0.0000 0.0000
Cl 0.0000 0.0000 2.6751
Ca 0.0000 3.0792 0.0000
```

Values from the calculation:
Crystal system: tetragonal
Formation energy without anion corrections, eV/atom: 0.562
Symmetry: P4/mmm, No. 123

---

[13]
The following is a PBE calculation of an optimized crystal structure of CaTiB2Cl, from the Alexandria database.

extended XYZ file:
```
5
Lattice="4.2474 0.0000 0.0000 0.0000 4.9059 0.0000 0.0000 0.0000 4.2474" Properties=species:S:1:pos:R:3 pbc="T T T"
Ti 0.0000 0.0000 0.0000
Cl 0.0000 2.4530 0.0000
Ca 2.1237 2.4530 2.1237
B 0.0000 0.0000 2.1237
B 2.1237 0.0000 0.0000
```

Values from the calculation:
Crystal system: tetragonal
Formation energy without anion corrections, eV/atom: 0.217
Symmetry: P4/mmm, No. 123

---

[14]
The following is a PBE calculation of an optimized crystal structure of CaBWCl2, from the Alexandria database.

extended XYZ file:
```
5
Lattice="5.0162 0.0000 0.0000 0.0000 7.1855 0.0000 0.0000 0.0000 5.0162" Properties=species:S:1:pos:R:3 pbc="T T T"
Ca 0.0000 0.0000 0.0000
Cl 2.5081 0.0000 0.0000
Cl 0.0000 0.0000 2.5081
B 2.5081 3.5927 2.5081
W 0.0000 3.5927 0.0000
```

Values from the calculation:
Crystal system: tetragonal
Formation energy without anion corrections, eV/atom: 1.291
Symmetry: P4/mmm, No. 123

---

[15]
The following is a PBE calculation of an optimized crystal structure of CaZr2BCl, from the Alexandria database.

extended XYZ file:
```
5
Lattice="-0.9964 -4.5084 2.5417 -1.2679 -2.0269 -4.0924 4.9797 -1.5403 -0.7799" Properties=species:S:1:pos:R:3 pbc="T T T"
B 1.3577 -4.0378 -1.1653
Cl -0.6339 -1.0135 -2.0462
Ca 0.0000 0.0000 0.0000
Zr -0.4982 -2.2542 1.2708
Zr 2.4899 -0.7701 -0.3900
```

Values from the calculation:
Crystal system: tetragonal
Formation energy without anion corrections, eV/atom: 1.889
Symmetry: P4/mmm, No. 123

---

[16]
The following is a PBE calculation of an optimized crystal structure of CaCoB2, from the Alexandria database.

extended XYZ file:
```
8
Lattice="-3.5491 -0.2835 2.4373 2.4473 -0.7198 3.4798 -0.2987 5.5157 4.0259" Properties=species:S:1:pos:R:3 pbc="T T T"
B -3.0234 3.7987 5.5871
B -2.8743 1.0409 3.5741
B -1.6504 0.6810 5.3139
B -1.2491 3.9405 4.3682
Co -2.1993 2.3653 4.7108
Co 0.0000 0.0000 0.0000
Ca -0.5509 -0.5017 2.9586
Ca 0.7988 2.1471 5.2321
```

Values from the calculation:
Energy of formation, meV per atom: -44
Crystal system: tetragonal
Symmetry: I4_1/amd, No. 141
Energy relative to the lowest polymorph listed for this composition, eV/atom: 0.000

---

[17]
The following is a PBE calculation of an optimized crystal structure of CaCoB3, from the Alexandria database.

extended XYZ file:
```
5
Lattice="-1.5978 2.4548 2.5031 0.6369 -2.5017 2.8601 3.4476 1.5999 0.6317" Properties=species:S:1:pos:R:3 pbc="T T T"
B 1.7238 0.7999 0.3158
B 0.3185 -1.2509 1.4301
B -0.7989 1.2274 1.2515
Ca 1.2433 0.7765 2.9974
Co 0.0000 0.0000 0.0000
```

Values from the calculation:
Energy of formation, meV per atom: 358
Crystal system: cubic
Symmetry: Pm-3m, No. 221
Energy relative to the lowest polymorph listed for this composition, eV/atom: 0.000

---

[18]
The following is a PBE calculation of an optimized crystal structure of CaCoB3, from the Alexandria database.

extended XYZ file:
```
5
Lattice="4.4306 0.0000 0.0000 0.0000 4.4306 0.0000 0.0000 0.0000 4.4306" Properties=species:S:1:pos:R:3 pbc="T T T"
Co 2.2153 2.2153 2.2153
B 0.0000 0.0000 2.2153
B 0.0000 2.2153 0.0000
B 2.2153 0.0000 0.0000
Ca 0.0000 0.0000 0.0000
```

Values from the calculation:
Energy of formation, meV per atom: 3174
Crystal system: cubic
Symmetry: Pm-3m, No. 221
Energy relative to the lowest polymorph listed for this composition, eV/atom: 2.816

---

[19]
The following is a PBE calculation of an optimized crystal structure of CaCoB2, from the Alexandria database.

extended XYZ file:
```
4
Lattice="0.0000 2.8275 2.8275 2.8275 0.0000 2.8275 2.8275 2.8275 0.0000" Properties=species:S:1:pos:R:3 pbc="T T T"
B 4.2412 4.2412 4.2412
B 1.4137 1.4137 1.4137
Co 2.8275 2.8275 2.8275
Ca 0.0000 0.0000 0.0000
```

Values from the calculation:
Energy of formation, meV per atom: 767
Crystal system: cubic
Symmetry: Fm-3m, No. 225
Energy relative to the lowest polymorph listed for this composition, eV/atom: 0.811

---

[20]
The following is a PBE calculation of an optimized crystal structure of CaCo4B4, from the Alexandria database.

extended XYZ file:
```
18
Lattice="-2.7146 1.3371 2.3265 -1.2303 -6.4371 2.2641 4.7167 0.8603 5.0089" Properties=species:S:1:pos:R:3 pbc="T T T"
Co -0.0888 0.3560 3.5214
Co -1.2683 -3.4675 2.9458
Co 0.9026 -2.0621 7.8022
Co 2.6456 -1.0705 6.1348
Co 0.2551 -4.2975 6.5971
Co -2.2399 -1.1387 3.6050
Co 2.4570 -0.1891 3.6739
Co 0.4239 -5.0895 4.1181
B 1.0461 -0.8212 2.3666
B 1.8559 -4.4678 5.4073
B -1.2358 -4.2966 4.8327
B 1.4232 0.3447 5.2678
B 0.9648 -0.2672 6.8675
B -0.6602 -1.2987 2.4332
B -2.3231 -2.9233 4.5578
B 2.0164 -3.2289 6.6655
Ca 0.0000 0.0000 0.0000
Ca 0.3859 -2.1199 4.7998
```

Values from the calculation:
Energy of formation, meV per atom: -415
Crystal system: tetragonal
Symmetry: P4_2/n, No. 86

---

[21]
The following is a PBE calculation of an optimized crystal structure of Ca2CoB, from the Alexandria database.

extended XYZ file:
```
8
Lattice="10.1005 0.0000 0.0000 0.0000 10.1005 0.0000 5.0503 5.0503 1.8842" Properties=species:S:1:pos:R:3 pbc="T T T"
Ca 7.5754 9.5070 1.4131
Ca 12.6256 10.6940 1.4131
Ca 4.4568 7.5754 0.4710
Ca 5.6437 2.5251 0.4710
B 5.0503 10.1005 0.9421
B 5.0503 5.0503 0.0000
Co 0.0000 0.0000 0.0000
Co 10.1005 5.0503 0.9421
```

Values from the calculation:
Energy of formation, meV per atom: 103
Crystal system: tetragonal
Symmetry: I-42d, No. 122

---

[22]
The following is a PBE calculation of an optimized crystal structure of CaCo12B6, from the Alexandria database.

extended XYZ file:
```
19
Lattice="5.9648 0.0199 0.0280 -1.4594 5.7836 0.0280 -1.4594 -1.8798 5.4697" Properties=species:S:1:pos:R:3 pbc="T T T"
Co 1.2529 1.6139 4.4775
Co 1.5231 4.7782 0.7629
Co 3.2695 2.1299 2.9994
Co 4.2516 2.6600 0.7629
Co -1.2054 1.2637 4.7627
Co 1.7932 2.3098 1.0481
Co -1.2054 4.0801 2.7628
Co -0.2233 1.7938 2.5262
Co 1.2529 3.6954 2.9994
Co 1.5231 -0.8546 4.7627
Co 1.7932 0.2283 2.5262
Co 4.2516 -0.1564 2.7628
Ca 0.0000 0.0000 0.0000
B 2.9856 3.8458 1.8139
B 0.0605 0.0779 3.7116
B 2.9856 0.4451 4.2287
B -0.3089 3.0028 4.2287
B 3.3550 0.9209 1.2968
B 0.0605 3.4786 1.2968
```

Values from the calculation:
Energy of formation, meV per atom: -291
Crystal system: trigonal
Symmetry: R-3m, No. 166

---

| no. | uncorrected energy (eV per cell) |
| --- | --- |
| 1 | -514.73 |
| 2 | -15.54 |
| 3 | -19.09 |
| 4 | -34.67 |
| 5 | -17.76 |
| 6 | -22.88 |
| 7 | -23.36 |
| 8 | -15.92 |
| 9 | -19.34 |
| 10 | -20.20 |
| 11 | -14.97 |
| 12 | -12.70 |
| 13 | -24.02 |
| 14 | -18.87 |
| 15 | -18.18 |
| 16 | -45.28 |
| 17 | -27.35 |
| 18 | -13.27 |
| 19 | -19.40 |
| 20 | -121.74 |
| 21 | -34.75 |
| 22 | -132.86 |